{
  "formula": "Ta2AlPt",
  "functional": "PBE-GGA",
  "state": "optimized geometry",
  "lattice_angstrom": [[-0.635, 2.055, 4.792], [-0.563, -1.415, 5.027], [3.571, 0.225, 2.232]],
  "species": ["Al", "Pt", "Ta", "Ta"],
  "fractional_positions": [[0.750, 0.750, 0.750], [0.250, 0.250, 0.250], [0.998, 0.998, 0.002], [0.502, 0.502, 0.498]],
  "magmom_total_mub_per_fu": 0.000,
  "ef_mev_per_atom": -513
}

=====

{
  "formula": "ZnFeHg2",
  "functional": "PBE-GGA",
  "state": "optimized geometry",
  "lattice_angstrom": [[5.022, -0.001, 0.000], [1.482, 4.799, 0.000], [-3.252, -2.399, 2.982]],
  "species": ["Fe", "Hg", "Hg", "Zn"],
  "fractional_positions": [[0.750, 0.250, 0.500], [0.000, 0.000, 0.000], [0.500, 0.500, 0.000], [0.250, 0.750, 0.500]],
  "magmom_total_mub_per_fu": 2.695,
  "ef_mev_per_atom": 408
}

=====

{
  "formula": "Tl2Au2O7",
  "functional": "PBE-GGA",
  "state": "optimized geometry",
  "lattice_angstrom": [[6.465, 0.000, 3.732], [2.155, 6.095, 3.732], [0.000, 0.000, 7.465]],
  "species": ["Tl", "Tl", "Tl", "Tl", "Au", "Au", "Au", "Au", "O", "O", "O", "O", "O", "O", "O", "O", "O", "O", "O", "O", "O", "O"],
  "fractional_positions": [[0.625, 0.625, 0.625], [0.625, 0.625, 0.125], [0.625, 0.125, 0.625], [0.125, 0.625, 0.625], [0.625, 0.125, 0.125], [0.125, 0.625, 0.125], [0.125, 0.125, 0.625], [0.125, 0.125, 0.125], [0.214, 0.214, 0.786], [0.214, 0.786, 0.214], [0.464, 0.036, 0.464], [0.464, 0.464, 0.036], [0.750, 0.750, 0.750], [0.786, 0.214, 0.214], [0.464, 0.036, 0.036], [0.036, 0.464, 0.464], [0.036, 0.036, 0.464], [0.036, 0.464, 0.036], [0.214, 0.786, 0.786], [0.500, 0.500, 0.500], [0.786, 0.214, 0.786], [0.786, 0.786, 0.214]],
  "e_tot_ev_per_atom": -4.3954,
  "magmom_total_mub_per_fu": 1.535
}

=====

{
  "formula": "ZnMoW",
  "functional": "PBE-GGA",
  "state": "optimized geometry",
  "lattice_angstrom": [[6.840, 0.011, 0.000], [5.798, 3.629, 0.000], [-6.319, -1.820, 1.882]],
  "species": ["Mo", "W", "Zn"],
  "fractional_positions": [[0.005, 0.005, 0.000], [0.328, 0.328, 0.000], [0.667, 0.667, 0.000]],
  "magmom_total_mub_per_fu": 0.000,
  "ef_mev_per_atom": 287
}

=====

{
  "formula": "La2PrPt",
  "functional": "PBE-GGA",
  "state": "optimized geometry",
  "lattice_angstrom": [[-3.214, 0.652, -5.844], [5.537, -3.443, -3.429], [-4.665, -9.052, 1.556]],
  "species": ["La", "La", "La", "La", "La", "La", "La", "La", "Pr", "Pr", "Pr", "Pr", "Pt", "Pt", "Pt", "Pt"],
  "fractional_positions": [[0.171, 0.676, 0.062], [0.329, 0.176, 0.438], [0.829, 0.324, 0.562], [0.671, 0.824, 0.938], [0.829, 0.324, 0.938], [0.671, 0.824, 0.562], [0.171, 0.676, 0.438], [0.329, 0.176, 0.062], [0.647, 0.527, 0.250], [0.853, 0.027, 0.250], [0.353, 0.473, 0.750], [0.147, 0.973, 0.750], [0.077, 0.381, 0.250], [0.423, 0.881, 0.250], [0.923, 0.619, 0.750], [0.577, 0.119, 0.750]],
  "magmom_total_mub_per_fu": 0.000,
  "ef_mev_per_atom": -632
}

=====

{
  "formula": "Rb2Hg2Te3",
  "functional": "PBE-GGA",
  "state": "optimized geometry",
  "lattice_angstrom": [[-0.733, 4.667, 0.685], [-8.030, -1.962, 4.772], [7.265, -1.742, 3.007]],
  "species": ["Rb", "Rb", "Hg", "Hg", "Te", "Te", "Te"],
  "fractional_positions": [[0.453, 0.230, 0.907], [0.547, 0.770, 0.093], [0.200, 0.310, 0.400], [0.800, 0.690, 0.600], [0.000, 0.000, 0.000], [0.173, 0.605, 0.345], [0.827, 0.395, 0.655]],
  "e_tot_ev_per_atom": -2.2522,
  "magmom_total_mub_per_fu": 0.000
}

=====

{
  "formula": "Ac2ScHgSe6",
  "functional": "PBE-GGA",
  "state": "optimized geometry",
  "lattice_angstrom": [[7.127, 0.000, -0.112], [0.000, 8.203, 0.000], [-0.080, 0.000, 9.648]],
  "species": ["Ac", "Ac", "Ac", "Ac", "Sc", "Sc", "Hg", "Hg", "Se", "Se", "Se", "Se", "Se", "Se", "Se", "Se", "Se", "Se", "Se", "Se"],
  "fractional_positions": [[0.047, 0.887, 0.252], [0.547, 0.613, 0.752], [0.953, 0.113, 0.748], [0.453, 0.387, 0.248], [0.500, 0.000, 0.000], [0.000, 0.500, 0.500], [0.500, 0.000, 0.500], [0.000, 0.500, 0.000], [0.353, 0.700, 0.060], [0.853, 0.800, 0.560], [0.647, 0.300, 0.940], [0.147, 0.200, 0.440], [0.316, 0.661, 0.445], [0.816, 0.839, 0.945], [0.684, 0.339, 0.555], [0.184, 0.161, 0.055], [0.854, 0.547, 0.242], [0.354, 0.953, 0.742], [0.146, 0.453, 0.758], [0.646, 0.047, 0.258]],
  "e_tot_ev_per_atom": -4.9824,
  "magmom_total_mub_per_fu": 0.000
}

=====

{
  "formula": "BaCaF2",
  "functional": "PBE-GGA",
  "state": "optimized geometry",
  "lattice_angstrom": [[2.303, 0.000, 7.056], [-1.152, 1.995, 7.056], [-1.152, -1.995, 7.056]],
  "species": ["Ca", "Ba", "F", "F"],
  "fractional_positions": [[0.500, 0.500, 0.500], [0.000, 0.000, 0.000], [0.871, 0.871, 0.871], [0.129, 0.129, 0.129]],
  "e_tot_ev_per_atom": -4.6523,
  "magmom_total_mub_per_fu": 0.372
}